(1)
Lu2MgCd at its PBEsol-relaxed geometry. Source: Alexandria, functional SCAN. Values from VASP.

```
&SYSTEM
  ibrav = 0, nat = 4, ntyp = 3
/
ATOMIC_SPECIES
Lu 174.97 Lu.upf
Mg 24.30 Mg.upf
Cd 112.41 Cd.upf
ATOMIC_POSITIONS crystal
Lu 0.250 0.250 0.250
Lu 0.750 0.750 0.750
Mg 0.000 0.000 0.000
Cd 0.500 0.500 0.500
CELL_PARAMETERS angstrom
0.000 3.638 3.638
3.638 0.000 3.638
3.638 3.638 0.000
```

Results
For the energy, the calculation gives -36.74 eV/atom. As for the total magnetization: 0.013 μB per atom. For the calculated formation energy, the calculation gives -5.16 kcal/mol of atoms. The crystal system is cubic. The value obtained for the density of states at the Fermi level is 2.78 states/eV/cell.

---

(2)
LuMgCd2 at its PBEsol-relaxed geometry. Source: Alexandria, functional SCAN. Values from VASP.

```
&SYSTEM
  ibrav = 0, nat = 4, ntyp = 3
/
ATOMIC_SPECIES
Lu 174.97 Lu.upf
Mg 24.30 Mg.upf
Cd 112.41 Cd.upf
ATOMIC_POSITIONS crystal
Lu 0.000 0.000 0.000
Mg 0.500 0.500 0.500
Cd 0.250 0.250 0.250
Cd 0.750 0.750 0.750
CELL_PARAMETERS angstrom
0.000 3.505 3.505
3.505 0.000 3.505
3.505 3.505 0.000
```

Results
For the energy, the calculation gives -30.66 eV/atom. As for the total magnetization: 0.000 μB per atom. For the calculated formation energy, the calculation gives -8.67 kcal/mol of atoms. The crystal system is cubic. The value obtained for the density of states at the Fermi level is 0.93 states/eV/cell.

---

(3)
Lu4CdNi at its PBEsol-relaxed geometry. Source: Alexandria, functional SCAN. Values from VASP.

```
&SYSTEM
  ibrav = 0, nat = 24, ntyp = 3
/
ATOMIC_SPECIES
Lu 174.97 Lu.upf
Cd 112.41 Cd.upf
Ni 58.69 Ni.upf
ATOMIC_POSITIONS crystal
Lu 0.062 0.062 0.438
Lu 0.062 0.438 0.062
Lu 0.062 0.438 0.438
Lu 0.187 0.187 0.813
Lu 0.187 0.813 0.187
Lu 0.187 0.813 0.813
Lu 0.204 0.599 0.599
Lu 0.438 0.062 0.062
Lu 0.438 0.062 0.438
Lu 0.438 0.438 0.062
Lu 0.599 0.204 0.599
Lu 0.599 0.599 0.204
Lu 0.599 0.599 0.599
Lu 0.813 0.187 0.187
Lu 0.813 0.187 0.813
Lu 0.813 0.813 0.187
Cd 0.506 0.831 0.831
Cd 0.831 0.506 0.831
Cd 0.831 0.831 0.506
Cd 0.831 0.831 0.831
Ni 0.392 0.392 0.392
Ni 0.392 0.392 0.823
Ni 0.392 0.823 0.392
Ni 0.823 0.392 0.392
CELL_PARAMETERS angstrom
0.000 6.484 6.484
6.484 0.000 6.484
6.484 6.484 0.000
```

Results
For the energy, the calculation gives -45.05 eV/atom. As for the total magnetization: 0.000 μB per atom. For the calculated formation energy, the calculation gives -8.95 kcal/mol of atoms. The crystal system is cubic. The value obtained for the density of states at the Fermi level is 21.07 states/eV/cell.

---

(4)
LuCdNi4 at its PBEsol-relaxed geometry. Source: Alexandria, functional SCAN. Values from VASP.

```
&SYSTEM
  ibrav = 0, nat = 6, ntyp = 3
/
ATOMIC_SPECIES
Lu 174.97 Lu.upf
Cd 112.41 Cd.upf
Ni 58.69 Ni.upf
ATOMIC_POSITIONS crystal
Lu 0.000 0.000 0.000
Cd 0.250 0.250 0.250
Ni 0.127 0.624 0.624
Ni 0.624 0.127 0.624
Ni 0.624 0.624 0.127
Ni 0.624 0.624 0.624
CELL_PARAMETERS angstrom
0.000 3.428 3.428
3.428 0.000 3.428
3.428 3.428 0.000
```

Results
For the energy, the calculation gives -25.45 eV/atom. As for the total magnetization: 0.000 μB per atom. For the calculated formation energy, the calculation gives -8.57 kcal/mol of atoms. The crystal system is cubic. The value obtained for the density of states at the Fermi level is 3.53 states/eV/cell.

---

(5)
Lu2CdOs at its PBEsol-relaxed geometry. Source: Alexandria, functional SCAN. Values from VASP.

```
&SYSTEM
  ibrav = 0, nat = 4, ntyp = 3
/
ATOMIC_SPECIES
Lu 174.97 Lu.upf
Cd 112.41 Cd.upf
Os 190.23 Os.upf
ATOMIC_POSITIONS crystal
Lu 0.250 0.250 0.250
Lu 0.750 0.750 0.750
Cd 0.000 0.000 0.000
Os 0.500 0.500 0.500
CELL_PARAMETERS angstrom
0.000 3.418 3.418
3.418 0.000 3.418
3.418 3.418 0.000
```

Results
For the energy, the calculation gives -53.70 eV/atom. As for the total magnetization: 0.000 μB per atom. For the calculated formation energy, the calculation gives -10.52 kcal/mol of atoms. The crystal system is cubic. The value obtained for the density of states at the Fermi level is 1.59 states/eV/cell.

---

(6)
LuCdPd2 at its PBEsol-relaxed geometry. Source: Alexandria, functional SCAN. Values from VASP.

```
&SYSTEM
  ibrav = 0, nat = 4, ntyp = 3
/
ATOMIC_SPECIES
Lu 174.97 Lu.upf
Cd 112.41 Cd.upf
Pd 106.42 Pd.upf
ATOMIC_POSITIONS crystal
Lu 0.000 0.000 0.000
Cd 0.500 0.500 0.500
Pd 0.250 0.250 0.250
Pd 0.750 0.750 0.750
CELL_PARAMETERS angstrom
0.000 3.285 3.285
3.285 0.000 3.285
3.285 3.285 0.000
```

Results
For the energy, the calculation gives -38.65 eV/atom. As for the total magnetization: 0.000 μB per atom. For the calculated formation energy, the calculation gives -19.06 kcal/mol of atoms. The crystal system is cubic. The value obtained for the density of states at the Fermi level is 1.91 states/eV/cell.

---

(7)
Lu2CdS4 at its PBEsol-relaxed geometry. Source: Alexandria, functional SCAN. Values from VASP.

```
&SYSTEM
  ibrav = 0, nat = 14, ntyp = 3
/
ATOMIC_SPECIES
Lu 174.97 Lu.upf
Cd 112.41 Cd.upf
S 32.06 S.upf
ATOMIC_POSITIONS crystal
Lu 0.000 0.000 0.000
Lu 0.000 0.000 0.500
Lu 0.000 0.500 0.000
Lu 0.500 0.000 0.000
Cd 0.375 0.375 0.375
Cd 0.625 0.625 0.625
S 0.225 0.758 0.758
S 0.242 0.242 0.242
S 0.242 0.242 0.775
S 0.242 0.775 0.242
S 0.758 0.225 0.758
S 0.758 0.758 0.225
S 0.758 0.758 0.758
S 0.775 0.242 0.242
CELL_PARAMETERS angstrom
0.000 5.475 5.475
5.475 0.000 5.475
5.475 5.475 0.000
```

Results
For the energy, the calculation gives -27.57 eV/atom. As for the total magnetization: 0.000 μB per atom. The uncorrected formation energy is -1.914 eV per atom. The crystal system is cubic. The value obtained for the density of states at the Fermi level is 0.00 states/eV/cell.

---

(8)
Lu2TlCd at its PBEsol-relaxed geometry. Source: Alexandria, functional SCAN. Values from VASP.

```
&SYSTEM
  ibrav = 0, nat = 4, ntyp = 3
/
ATOMIC_SPECIES
Lu 174.97 Lu.upf
Tl 204.38 Tl.upf
Cd 112.41 Cd.upf
ATOMIC_POSITIONS crystal
Lu 0.250 0.250 0.250
Lu 0.750 0.750 0.750
Tl 0.000 0.000 0.000
Cd 0.500 0.500 0.500
CELL_PARAMETERS angstrom
0.000 3.628 3.628
3.628 0.000 3.628
3.628 3.628 0.000
```

Results
For the energy, the calculation gives -53.80 eV/atom. As for the total magnetization: 0.000 μB per atom. For the calculated formation energy, the calculation gives -10.02 kcal/mol of atoms. The crystal system is cubic. The value obtained for the density of states at the Fermi level is 2.60 states/eV/cell.

---

energy of number 2 (LuMgCd2)? -30.66 eV/atom

---

Which value of total magnetization does entry 6 give? 0.000 μB per atom

---

Please write out number 1 again, unchanged.
Lu2MgCd at its PBEsol-relaxed geometry. Source: Alexandria, functional SCAN. Values from VASP.

```
&SYSTEM
  ibrav = 0, nat = 4, ntyp = 3
/
ATOMIC_SPECIES
Lu 174.97 Lu.upf
Mg 24.30 Mg.upf
Cd 112.41 Cd.upf
ATOMIC_POSITIONS crystal
Lu 0.250 0.250 0.250
Lu 0.750 0.750 0.750
Mg 0.000 0.000 0.000
Cd 0.500 0.500 0.500
CELL_PARAMETERS angstrom
0.000 3.638 3.638
3.638 0.000 3.638
3.638 3.638 0.000
```

Results
For the energy, the calculation gives -36.74 eV/atom. As for the total magnetization: 0.013 μB per atom. For the calculated formation energy, the calculation gives -5.16 kcal/mol of atoms. The crystal system is cubic. The value obtained for the density of states at the Fermi level is 2.78 states/eV/cell.